No. 1
Crystalline CdH16PtC10O10 at its relaxed geometry. Source: OQMD, functional GGA-PBE.

Values from the calculation:
As for the raw total energy: -0.21865 hartree per atom. The calculation puts the total moment at 0.0 μB/cell. Its volume is 352 Å³/f.u. As for the crystal system: triclinic.

Cell: 8.327 8.695 10.354 Å, 83.13 74.96 77.36°
Element x y z (fractional)
C1 0.942 0.657 0.181
H1 0.858 0.771 0.173
Pt1 0.300 0.850 0.311
H2 0.259 0.936 0.968
O1 0.556 0.143 0.879
C2 0.420 0.217 0.560
H3 0.363 0.133 0.106
H4 0.920 0.891 0.704
O2 0.897 0.186 0.754
C3 0.673 0.248 0.164
H5 0.878 0.049 0.141
H6 0.826 0.711 0.476
H7 0.808 0.756 0.961
C4 0.434 0.259 0.916
H8 0.225 0.082 0.576
O3 0.595 0.615 0.159
C5 0.981 0.766 0.698
H9 0.670 0.004 0.206
H10 0.320 0.153 0.413
O4 0.540 0.648 0.472
O5 0.843 0.403 0.469
C6 0.726 0.818 0.482
C7 0.098 0.673 0.220
O6 0.103 0.814 0.246
O7 0.157 0.597 0.531
H11 0.330 0.996 0.794
H12 0.301 0.535 0.889
H13 0.046 0.729 0.780
H14 0.877 0.578 0.258
H15 0.979 0.601 0.086
H16 0.122 0.951 0.859
O8 0.153 0.861 0.499
C8 0.580 0.783 0.440
H17 0.123 0.422 0.742
H18 0.699 0.465 0.111
H19 0.741 0.064 0.032
H20 0.637 0.867 0.894
H21 0.887 0.692 0.711
H22 0.080 0.109 0.296
O9 0.760 0.350 0.087
C9 0.327 0.752 0.836
O10 0.240 0.650 0.913
C10 0.106 0.736 0.566
H23 0.021 0.399 0.914
H24 0.192 0.244 0.039
C11 0.566 0.741 0.084
C12 0.255 0.920 0.866
Pt2 0.700 0.150 0.689
H25 0.142 0.229 0.827
C13 0.320 0.243 0.051
O11 0.458 0.711 0.748
C14 0.680 0.757 0.949
H26 0.113 0.308 0.289
O12 0.790 0.450 0.773
O13 0.847 0.139 0.501
Cd1 0.398 0.526 0.356
O14 0.444 0.857 0.121
O15 0.499 0.108 0.629
O16 0.501 0.892 0.371
C15 0.274 0.182 0.518
O17 0.542 0.289 0.252
H27 0.309 0.346 0.107
H28 0.691 0.654 0.893
O18 0.460 0.352 0.528
H29 0.174 0.289 0.524
H30 0.680 0.847 0.587
C16 0.019 0.234 0.302
O19 0.405 0.385 0.841
H31 0.775 0.918 0.424
H32 0.954 0.271 0.220
O20 0.210 0.550 0.227
C17 0.902 0.327 0.780
C18 0.894 0.264 0.434
Cd2 0.602 0.474 0.644
C19 0.058 0.343 0.819
C20 0.745 0.080 0.134



No. 2
Crystalline CdH34C18S4O2 at its relaxed geometry. Source: OQMD, functional GGA-PBE.

Values from the calculation:
As for the raw total energy: -0.19928 hartree per atom. Its volume is 579 Å³/f.u. As for the crystal system: monoclinic.

Cell: 5.664 5.664 18.735 Å, 92.00 92.00 74.51°
Element x y z (fractional)
S1 0.381 0.571 0.895
C1 0.040 0.383 0.446
O1 0.901 0.571 0.125
C2 0.323 0.261 0.636
H1 0.646 0.501 0.455
H2 0.431 0.602 0.305
H3 0.567 0.914 0.237
C3 0.310 0.305 0.909
C4 0.633 0.102 0.829
H4 0.168 0.218 0.606
C5 0.478 0.758 0.333
H5 0.585 0.782 0.774
H6 0.882 0.951 0.705
S2 0.086 0.286 0.965
C6 0.242 0.522 0.667
H7 0.490 0.125 0.310
C7 0.179 0.057 0.251
H8 0.218 0.415 0.226
H9 0.049 0.118 0.295
H10 0.180 0.340 0.404
C8 0.695 0.690 0.091
H11 0.769 0.167 0.862
H12 0.779 0.932 0.521
C9 0.157 0.265 0.199
H13 0.368 0.130 0.680
C10 0.617 0.960 0.554
H14 0.398 0.569 0.695
Cd1 0.167 0.833 0.000
H15 0.499 0.354 0.545
C11 0.030 0.561 0.718
C12 0.543 0.218 0.588
H16 0.076 0.532 0.480
H17 0.127 0.904 0.223
C13 0.739 0.677 0.364
H18 0.870 0.632 0.320
H19 0.096 0.873 0.777
H20 0.745 0.301 0.382
S3 0.714 0.914 0.035
H21 0.782 0.832 0.394
S4 0.429 0.619 0.105
H22 0.086 0.433 0.763
H23 0.875 0.510 0.690
H24 0.833 0.231 0.138
C14 0.782 0.457 0.412
O2 0.429 0.099 0.875
H25 0.800 0.720 0.846
C15 0.439 0.970 0.282
C16 0.735 0.843 0.801
H26 0.564 0.233 0.787
H27 0.468 0.924 0.520
H28 0.068 0.221 0.479
H29 0.660 0.820 0.596
H30 0.767 0.436 0.213
H31 0.189 0.652 0.623
C17 0.898 0.367 0.171
H32 0.348 0.811 0.377
H33 0.280 0.200 0.154
H34 0.699 0.255 0.618
C18 0.943 0.821 0.749



No. 3
Crystalline CdH10C2S2O8 at its relaxed geometry. Source: OQMD, functional GGA-PBE.

Values from the calculation:
As for the raw total energy: -0.19230 hartree per atom. Its volume is 215 Å³/f.u. As for the crystal system: triclinic.

Cell: 4.627 5.989 7.788 Å, 89.64 86.94 85.25°
Element x y z (fractional)
O1 0.317 0.479 0.728
H1 0.122 0.663 0.428
Cd1 0.000 0.000 0.000
S1 0.519 0.736 0.242
O2 0.153 0.260 0.180
H2 0.402 0.788 0.535
O3 0.683 0.521 0.272
H3 0.679 0.666 0.867
H4 0.834 0.043 0.600
H5 0.321 0.334 0.133
H6 0.010 0.621 0.800
O4 0.700 0.928 0.232
H7 0.598 0.212 0.465
O5 0.346 0.723 0.086
O6 0.654 0.277 0.914
H8 0.990 0.379 0.200
C1 0.277 0.791 0.420
S2 0.481 0.264 0.758
H9 0.878 0.337 0.572
O7 0.300 0.072 0.768
H10 0.166 0.957 0.400
C2 0.723 0.209 0.580
O8 0.847 0.740 0.820



No. 4
Crystalline Hf4CdC3 at its relaxed geometry. Source: OQMD, functional GGA-PBE.

Values from the calculation:
As for the raw total energy: -0.34283 hartree per atom. The calculation puts the total moment at 0.0 μB/cell. Its volume is 121 Å³/f.u. As for the crystal system: hexagonal.

Cell: 3.301 3.301 25.645 Å, 90.00 90.00 120.00°
Element x y z (fractional)
Hf1 0.333 0.667 0.449
C1 0.000 0.000 0.500
Hf2 0.000 0.000 0.152
Hf3 0.000 0.000 0.848
Hf4 0.000 0.000 0.348
Cd1 0.333 0.667 0.250
C2 0.333 0.667 0.893
Cd2 0.667 0.333 0.750
C3 0.667 0.333 0.107
C4 0.667 0.333 0.393
C5 0.000 0.000 0.000
C6 0.333 0.667 0.607
Hf5 0.000 0.000 0.652
Hf6 0.667 0.333 0.949
Hf7 0.333 0.667 0.051
Hf8 0.667 0.333 0.551



No. 5
Crystalline HfCd2C at its relaxed geometry. Source: OQMD, functional GGA-PBE.

Values from the calculation:
As for the raw total energy: -0.15364 hartree per atom. The calculation puts the total moment at 0.8 μB/cell. Its volume is 72 Å³/f.u. As for the crystal system: hexagonal.

Cell: 3.144 3.144 16.868 Å, 90.00 90.00 120.00°
Element x y z (fractional)
Cd1 0.667 0.333 0.596
C1 0.000 0.000 0.500
C2 0.000 0.000 0.000
Hf1 0.333 0.667 0.750
Cd2 0.333 0.667 0.096
Hf2 0.667 0.333 0.250
Cd3 0.333 0.667 0.404
Cd4 0.667 0.333 0.904



No. 6
Crystalline Lu4Hf2Cd3C3 at its relaxed geometry. Source: OQMD, functional GGA-PBE.

Values from the calculation:
As for the raw total energy: -0.22531 hartree per atom. The calculation puts the total moment at 0.2 μB/cell. Its volume is 237 Å³/f.u. As for the crystal system: monoclinic.

Cell: 5.910 5.910 15.933 Å, 99.97 99.97 60.21°
Element x y z (fractional)
Cd1 0.125 0.875 0.750
Lu1 0.814 0.965 0.912
C1 0.655 0.189 0.500
Lu2 0.306 0.132 0.412
Hf1 0.523 0.348 0.074
Cd2 0.278 0.424 0.249
C2 0.000 0.500 0.500
Hf2 0.652 0.477 0.426
Lu3 0.965 0.814 0.412
Lu4 0.035 0.186 0.588
Hf3 0.477 0.652 0.926
Hf4 0.348 0.523 0.574
Lu5 0.186 0.035 0.088
C3 0.811 0.345 0.000
Cd3 0.424 0.278 0.749
C4 0.345 0.811 0.500
Cd4 0.576 0.722 0.251
C5 0.500 0.000 0.000
C6 0.189 0.655 0.000
Lu6 0.132 0.306 0.912
Cd5 0.875 0.125 0.250
Lu7 0.694 0.868 0.588
Cd6 0.722 0.576 0.751
Lu8 0.868 0.694 0.088



No. 7
Crystalline Hf2Cd3Mo4C3 at its relaxed geometry. Source: OQMD, functional GGA-PBE.

Values from the calculation:
As for the raw total energy: -0.29480 hartree per atom. The calculation puts the total moment at 0.0 μB/cell. Its volume is 186 Å³/f.u. As for the crystal system: monoclinic.

Cell: 5.480 5.480 14.614 Å, 100.79 100.79 60.19°
Element x y z (fractional)
Cd1 0.418 0.185 0.749
C1 0.336 0.829 0.500
C2 0.171 0.664 0.000
C3 0.000 0.500 0.500
Mo1 0.146 0.308 0.926
Hf1 0.469 0.633 0.905
Mo2 0.021 0.195 0.574
Cd2 0.582 0.815 0.251
Hf2 0.633 0.469 0.405
Cd3 0.976 0.024 0.250
Mo3 0.979 0.805 0.426
Mo4 0.854 0.692 0.074
Mo5 0.692 0.854 0.574
Mo6 0.308 0.146 0.426
C4 0.664 0.171 0.500
Hf3 0.531 0.367 0.095
Cd4 0.815 0.582 0.751
Mo7 0.805 0.979 0.926
Mo8 0.195 0.021 0.074
Cd5 0.185 0.418 0.249
C5 0.829 0.336 0.000
C6 0.500 0.000 0.000
Hf4 0.367 0.531 0.595
Cd6 0.024 0.976 0.750



No. 8
Crystalline Hf4Cd3Mo2C3 at its relaxed geometry. Source: OQMD, functional GGA-PBE.

Values from the calculation:
As for the raw total energy: -0.29630 hartree per atom. The calculation puts the total moment at 0.0 μB/cell. Its volume is 198 Å³/f.u. As for the crystal system: monoclinic.

Cell: 5.588 5.588 14.959 Å, 100.83 100.83 60.16°
Element x y z (fractional)
C1 0.167 0.667 0.500
Mo1 0.351 0.523 0.070
Hf1 0.304 0.132 0.912
Cd1 0.581 0.720 0.748
Cd2 0.720 0.581 0.248
Cd3 0.419 0.280 0.252
Mo2 0.649 0.477 0.930
Hf2 0.868 0.696 0.588
Hf3 0.696 0.868 0.088
Cd4 0.280 0.419 0.752
Hf4 0.132 0.304 0.412
Hf5 0.191 0.035 0.588
C2 0.500 0.000 0.500
C3 0.000 0.500 0.000
Cd5 0.883 0.117 0.750
Cd6 0.117 0.883 0.250
Hf6 0.035 0.191 0.088
C4 0.833 0.333 0.500
Mo3 0.477 0.649 0.430
Hf7 0.965 0.809 0.912
C5 0.333 0.833 0.000
C6 0.667 0.167 0.000
Hf8 0.809 0.965 0.412
Mo4 0.523 0.351 0.570



No. 9
Crystalline Hf2Nb4Cd3C3 at its relaxed geometry. Source: OQMD, functional GGA-PBE.

Values from the calculation:
As for the raw total energy: -0.29283 hartree per atom. The calculation puts the total moment at 0.0 μB/cell. Its volume is 198 Å³/f.u. As for the crystal system: monoclinic.

Cell: 5.578 5.578 15.043 Å, 100.77 100.77 60.03°
Element x y z (fractional)
C1 0.666 0.168 0.000
C2 0.000 0.500 0.000
Hf1 0.632 0.470 0.910
Nb1 0.306 0.144 0.921
Cd1 0.036 0.964 0.250
C3 0.832 0.334 0.500
Cd2 0.200 0.417 0.749
Hf2 0.530 0.368 0.590
Hf3 0.470 0.632 0.410
Hf4 0.368 0.530 0.090
Nb2 0.694 0.856 0.079
Cd3 0.964 0.036 0.750
Nb3 0.977 0.803 0.921
Nb4 0.197 0.023 0.579
Cd4 0.800 0.583 0.251
Nb5 0.803 0.977 0.421
Cd5 0.417 0.200 0.249
C4 0.334 0.832 0.000
C5 0.500 0.000 0.500
Cd6 0.583 0.800 0.751
Nb6 0.023 0.197 0.079
Nb7 0.144 0.306 0.421
C6 0.168 0.666 0.500
Nb8 0.856 0.694 0.579



No. 10
Crystalline Hf4Nb2Cd3C3 at its relaxed geometry. Source: OQMD, functional GGA-PBE.

Values from the calculation:
As for the raw total energy: -0.29517 hartree per atom. The calculation puts the total moment at 0.0 μB/cell. Its volume is 205 Å³/f.u. As for the crystal system: monoclinic.

Cell: 5.658 5.658 15.166 Å, 100.84 100.84 60.03°
Element x y z (fractional)
Cd1 0.273 0.418 0.251
Cd2 0.893 0.107 0.250
Cd3 0.418 0.273 0.751
Hf1 0.031 0.192 0.585
Hf2 0.305 0.136 0.415
C1 0.500 0.000 0.000
Nb1 0.357 0.525 0.576
Hf3 0.192 0.031 0.085
Hf4 0.808 0.969 0.915
Cd4 0.727 0.582 0.749
Nb2 0.525 0.357 0.076
C2 0.667 0.166 0.500
Hf5 0.695 0.864 0.585
Nb3 0.643 0.475 0.424
Nb4 0.475 0.643 0.924
C3 0.333 0.834 0.500
C4 0.166 0.667 0.000
C5 0.000 0.500 0.500
C6 0.834 0.333 0.000
Hf6 0.969 0.808 0.415
Hf7 0.136 0.305 0.915
Cd5 0.582 0.727 0.249
Cd6 0.107 0.893 0.750
Hf8 0.864 0.695 0.085



No. 11
Crystalline Hf4Cd2CO at its relaxed geometry. Source: OQMD, functional GGA-PBE.

Values from the calculation:
As for the raw total energy: -0.28815 hartree per atom. The calculation puts the total moment at 0.0 μB/cell. Its volume is 138 Å³/f.u. As for the crystal system: trigonal.

Cell: 3.299 3.299 14.680 Å, 90.00 90.00 120.00°
Element x y z (fractional)
Cd1 0.333 0.667 0.747
Cd2 0.667 0.333 0.253
O1 0.000 0.000 0.500
Hf1 0.333 0.667 0.418
Hf2 0.667 0.333 0.917
C1 0.000 0.000 0.000
Hf3 0.333 0.667 0.083
Hf4 0.667 0.333 0.582



No. 12
Crystalline Hf4Cd2PC at its relaxed geometry. Source: OQMD, functional GGA-PBE.

Values from the calculation:
As for the raw total energy: -0.27889 hartree per atom. The calculation puts the total moment at 0.0 μB/cell. Its volume is 154 Å³/f.u. As for the crystal system: trigonal.

Cell: 3.401 3.401 15.352 Å, 90.00 90.00 120.00°
Element x y z (fractional)
Cd1 0.333 0.667 0.760
Cd2 0.667 0.333 0.240
Hf1 0.667 0.333 0.600
Hf2 0.333 0.667 0.078
P1 0.000 0.000 0.500
Hf3 0.667 0.333 0.922
Hf4 0.333 0.667 0.400
C1 0.000 0.000 0.000



no.,density (g/cm³)
1,2.84
2,1.50
3,2.62
4,11.84
5,9.55
6,10.04
7,9.95
8,10.74
9,9.24
10,10.30
11,11.60
12,10.60